Record 1
SrCd2Fe: optimized geometry, PBE-GGA.

a b c (Å): 3.6556 3.6556 27.0269
angles (deg): 90.00 90.00 120.00
Space group R3m (No. 160, hexagonal axes)
Asymmetric unit:
Sr (0.0000, 0.0000, 0.0000) [3 per cell]
Cd (0.0000, 0.0000, 0.5151) [3 per cell]
Cd (0.0000, 0.0000, 0.7679) [3 per cell]
Fe (0.0000, 0.0000, 0.2460) [3 per cell]

## Properties
The calculation puts the total energy at -0.092 hartree per atom. The calculation puts the size of the total moment at 7.55 μB per cell.

Record 2
Sr2CdFe: optimized geometry, PBE-GGA.

a b c (Å): 4.8053 4.8053 10.2699
angles (deg): 90.00 90.00 90.00
Space group I-4m2 (No. 119)
Asymmetric unit:
Sr (0.0000, 0.0000, 0.0000) [2 per cell]
Sr (0.0000, 0.5000, 0.2500) [2 per cell]
Cd (0.0000, 0.5000, 0.7500) [2 per cell]
Fe (0.0000, 0.0000, 0.5000) [2 per cell]

## Properties
The calculation puts the total energy at -0.101 hartree per atom. The calculation puts the size of the total moment at 4.50 μB per cell.

Record 3
SrCd2Fe: optimized geometry, PBE-GGA.

a b c (Å): 3.4674 3.4674 7.7790
angles (deg): 90.00 90.00 90.00
Space group P4/mmm (No. 123)
Asymmetric unit:
Sr (0.0000, 0.0000, 0.0000) [1 per cell]
Cd (0.5000, 0.5000, 0.3099) [2 per cell]
Fe (0.0000, 0.0000, 0.5000) [1 per cell]

## Properties
The calculation puts the total energy at -0.103 hartree per atom. The calculation puts the size of the total moment at 2.70 μB per cell.

Record 4
SrZr2CdFe: optimized geometry, PBE-GGA.

a b c (Å): 5.3732 5.3732 4.8353
angles (deg): 90.00 90.00 90.00
Space group P4/mmm (No. 123)
Asymmetric unit:
Sr (0.0000, 0.0000, 0.0000) [1 per cell]
Zr (0.0000, 0.5000, 0.5000) [2 per cell]
Cd (0.5000, 0.5000, 0.5000) [1 per cell]
Fe (0.5000, 0.5000, 0.0000) [1 per cell]

## Properties
The calculation puts the total energy at -0.162 hartree per atom. The calculation puts the size of the total moment at 0.00 μB per cell.

Record 5
SrZrCd2Fe: optimized geometry, PBE-GGA.

a b c (Å): 5.6203 5.6203 5.5010
angles (deg): 90.00 90.00 90.00
Space group P4/mmm (No. 123)
Asymmetric unit:
Sr (0.0000, 0.0000, 0.0000) [1 per cell]
Zr (0.0000, 0.0000, 0.5000) [1 per cell]
Cd (0.0000, 0.5000, 0.0000) [2 per cell]
Fe (0.5000, 0.5000, 0.5000) [1 per cell]

## Properties
The calculation puts the total energy at -0.083 hartree per atom. The calculation puts the size of the total moment at 2.84 μB per cell.

Record 6
Ta2CdFe: optimized geometry, PBE-GGA.

a b c (Å): 4.0047 4.0047 4.2061
angles (deg): 90.00 90.00 90.00
Space group P4/mmm (No. 123)
Asymmetric unit:
Ta (0.0000, 0.5000, 0.0000) [2 per cell]
Cd (0.0000, 0.0000, 0.5000) [1 per cell]
Fe (0.5000, 0.5000, 0.5000) [1 per cell]

## Properties
The calculation puts the total energy at -0.292 hartree per atom. The calculation puts the size of the total moment at 1.64 μB per cell.

Record 7
Ta2CdFe: optimized geometry, PBE-GGA.

a b c (Å): 5.7023 8.4028 2.8324
angles (deg): 90.00 90.65 90.00
Space group C2/m (No. 12)
Asymmetric unit:
Ta (0.2500, 0.2500, 0.0000) [4 per cell]
Cd (0.0000, 0.0000, 0.5000) [2 per cell]
Fe (0.0000, 0.5000, 0.5000) [2 per cell]

## Properties
The calculation puts the total energy at -0.291 hartree per atom. The calculation puts the size of the total moment at 3.65 μB per cell.

Record 8
TaCdFe3: optimized geometry, PBE-GGA.

a b c (Å): 4.6202 4.6202 4.6202
angles (deg): 90.00 90.00 90.00
Space group Pm-3m (No. 221)
Asymmetric unit:
Ta (0.0000, 0.0000, 0.0000) [1 per cell]
Cd (0.5000, 0.5000, 0.5000) [1 per cell]
Fe (0.0000, 0.5000, 0.5000) [3 per cell]

## Properties
The offset from the most stable computed form comes out at 547 meV/atom. The calculation puts the size of the total moment at 7.06 μB per cell.